{
  "formula": "CeGdIrAu",
  "functional": "PBE",
  "state": "optimized geometry",
  "cell": [[7.147, 0.000, 0.000], [0.000, 7.147, 0.000], [0.000, 0.000, 7.147]],
  "species": ["Ce", "Ce", "Ce", "Ce", "Gd", "Gd", "Gd", "Gd", "Ir", "Ir", "Ir", "Ir", "Au", "Au", "Au", "Au"],
  "frac_coords": [[0.000, 0.000, 0.000], [0.000, 0.500, 0.500], [0.500, 0.000, 0.500], [0.500, 0.500, 0.000], [0.000, 0.000, 0.500], [0.000, 0.500, 0.000], [0.500, 0.000, 0.000], [0.500, 0.500, 0.500], [0.250, 0.250, 0.250], [0.250, 0.750, 0.750], [0.750, 0.250, 0.750], [0.750, 0.750, 0.250], [0.250, 0.250, 0.750], [0.250, 0.750, 0.250], [0.750, 0.250, 0.250], [0.750, 0.750, 0.750]],
  "formation_enthalpy_0k_mev_per_atom": -683,
  "final_energy_ev_per_atom": -8.721,
  "sg": "F-43m (216)"
}